A plane-wave DFT calculation with PBE was carried out for an optimized crystal structure of LiMn3Mo.

The excess energy over the best structure of this formula in the dataset comes out at 81 meV/atom. The calculation puts the raw total energy at -34.53 eV/cell.

The space group is Pm-3m (No. 221) and the conventional cell measures 4.690, 4.690 and 4.690 Å, with angles of 90.00, 90.00 and 90.00 degrees. The inequivalent atoms are Li at (0.000, 0.000, 0.000), Mn at (0.000, 0.500, 0.500) and Mo at (0.500, 0.500, 0.500).

=====

A plane-wave DFT calculation with PBE was carried out for an optimized crystal structure of Li4MnMo.

The calculation puts the raw total energy at -98.06 eV/cell.

The space group is F-43m (No. 216) and the conventional cell measures 6.988, 6.988 and 6.988 Å, with angles of 90.00, 90.00 and 90.00 degrees. The inequivalent atoms are Li at (0.125, 0.125, 0.125), Mn at (0.250, 0.250, 0.750) and Mo at (0.000, 0.000, 0.500).

=====

A plane-wave DFT calculation with PBE was carried out for an optimized crystal structure of Li2MnMo.

The excess energy over the best structure of this formula in the dataset comes out at 0 meV/atom. The calculation puts the raw total energy at -45.49 eV/cell.

The space group is Cmm2 (No. 35) and the conventional cell measures 3.021, 4.350 and 9.190 Å, with angles of 90.00, 90.00 and 90.00 degrees. The inequivalent atoms are Li at (0.000, 0.000, 0.000), Li at (0.000, 0.500, 0.279), Mn at (0.000, 0.500, 0.761) and Mo at (0.000, 0.000, 0.541).

=====

A plane-wave DFT calculation with PBE was carried out for an optimized crystal structure of LiMn2Mo.

The excess energy over the best structure of this formula in the dataset comes out at 0 meV/atom. The calculation puts the raw total energy at -120.29 eV/cell.

The space group is Fm-3m (No. 225) and the conventional cell measures 5.882, 5.882 and 5.882 Å, with angles of 90.00, 90.00 and 90.00 degrees. The inequivalent atoms are Li at (0.000, 0.000, 0.000), Mn at (0.250, 0.250, 0.250) and Mo at (0.000, 0.000, 0.500).

=====

A plane-wave DFT calculation with PBE was carried out for an optimized crystal structure of LiMn2Mo.

The excess energy over the best structure of this formula in the dataset comes out at 73 meV/atom. The calculation puts the raw total energy at -59.56 eV/cell.

The space group is Cmmm (No. 65) and the conventional cell measures 2.965, 4.283 and 8.777 Å, with angles of 90.00, 90.00 and 90.00 degrees. The inequivalent atoms are Li at (0.000, 0.000, 0.000), Mn at (0.000, 0.500, 0.259) and Mo at (0.000, 0.000, 0.500).

=====

A plane-wave DFT calculation with PBE was carried out for an optimized crystal structure of Li2MnMo.

The excess energy over the best structure of this formula in the dataset comes out at 195 meV/atom. The calculation puts the raw total energy at -87.85 eV/cell.

The space group is F-43m (No. 216) and the conventional cell measures 6.009, 6.009 and 6.009 Å, with angles of 90.00, 90.00 and 90.00 degrees. The inequivalent atoms are Li at (0.000, 0.000, 0.000), Li at (0.250, 0.250, 0.250), Mn at (0.250, 0.250, 0.750) and Mo at (0.000, 0.000, 0.500).

=====

| no. | formation enthalpy at 0 K (meV per atom) |
| --- | --- |
| 1 | 1143.9 |
| 2 | 523.4 |
| 3 | 271.4 |
| 4 | 252.9 |
| 5 | 325.9 |
| 6 | 466.7 |